A plane-wave DFT calculation with PBE-GGA was carried out for a relaxed structure of Li2AcScSe4.

Cell and atoms, written as CIF:
```
data_Li2AcScSe4
_chemical_formula_sum 'Li2 Ac1 Sc1 Se4'
_symmetry_space_group_name_H-M 'P 1 2/m 1'
_symmetry_Int_Tables_number 10
_cell_length_a 6.9423
_cell_length_b 4.1580
_cell_length_c 7.2592
_cell_angle_alpha 90.00
_cell_angle_beta 110.64
_cell_angle_gamma 90.00
loop_
_symmetry_equiv_pos_as_xyz
'x,y,z'
'-x,-y,-z'
'-x,y,-z'
'x,-y,z'
loop_
_atom_site_label
_atom_site_type_symbol
_atom_site_fract_x
_atom_site_fract_y
_atom_site_fract_z
_atom_site_occupancy
Li1 Li 0.0000 0.0000 0.0000 1
Li2 Li 0.0000 0.5000 0.5000 1
Ac1 Ac 0.5000 0.0000 0.5000 1
Sc1 Sc 0.5000 0.5000 0.0000 1
Se1 Se 0.2411 0.5000 0.2133 1
Se2 Se 0.2520 0.0000 0.7742 1
```

Summary:
For the uncorrected formation energy, the calculation gives -12.68 eV per formula unit. For the total energy, the calculation gives -5.1108 eV per atom.

=====

A plane-wave DFT calculation with PBE-GGA was carried out for a relaxed structure of TeMoI3.

Cell and atoms, written as CIF:
```
data_TeMoI3
_chemical_formula_sum 'Te1 Mo1 I3'
_symmetry_space_group_name_H-M 'P m -3 m'
_symmetry_Int_Tables_number 221
_symmetry_space_group_name_Hall '-P 4 2 3'
_cell_length_a 6.0601
_cell_length_b 6.0601
_cell_length_c 6.0601
_cell_angle_alpha 90.00
_cell_angle_beta 90.00
_cell_angle_gamma 90.00
loop_
_atom_site_label
_atom_site_type_symbol
_atom_site_fract_x
_atom_site_fract_y
_atom_site_fract_z
_atom_site_occupancy
Te1 Te 0.0000 0.0000 0.0000 1
Mo1 Mo 0.5000 0.5000 0.5000 1
I1 I 0.0000 0.0000 0.5000 1
```

Summary:
For the uncorrected formation energy, the calculation gives 4.74 eV per formula unit. For the total energy, the calculation gives -2.7768 eV per atom.